(1)
Below is an optimized crystal structure of BaTa2Rh, with properties calculated at the PBE level.

abc: 6.953 6.953 6.953
angles: 90.00 90.00 90.00
Space group F-43m (No. 216)
Unique sites:
Ba 0.000 0.000 0.000
Ta 0.000 0.000 0.500
Ta 0.250 0.250 0.750
Rh 0.250 0.250 0.250

Computed properties:
- formation energy from the elements (meV per atom) = 876

(2)
Below is an optimized crystal structure of BaTa2Rh, with properties calculated at the PBE level.

abc: 5.050 5.050 3.113
angles: 90.00 90.00 90.00
Space group P4/mmm (No. 123)
Unique sites:
Ba 0.000 0.000 0.000
Ta 0.000 0.500 0.500
Rh 0.500 0.500 0.000

Computed properties:
- formation energy from the elements (meV per atom) = 1019

(3)
Below is an optimized crystal structure of BaTaRh3, with properties calculated at the PBE level.

abc: 4.879 4.879 4.879
angles: 90.00 90.00 90.00
Space group Pm-3m (No. 221)
Unique sites:
Ba 0.000 0.000 0.000
Ta 0.500 0.500 0.500
Rh 0.000 0.500 0.500

Computed properties:
- formation energy from the elements (meV per atom) = 134

(4)
Below is an optimized crystal structure of BaTa2Rh, with properties calculated at the PBE level.

abc: 2.986 2.986 9.894
angles: 90.00 90.00 90.00
Space group P4/mmm (No. 123)
Unique sites:
Ba 0.000 0.000 0.000
Ta 0.500 0.500 0.317
Rh 0.000 0.000 0.500

Computed properties:
- formation energy from the elements (meV per atom) = 526

Short version: ρ = 11.9; 12.6; 9.0; 11.3 g/cm3, in the order given.
Short version: ΔE to the lowest computed polymorph = 0.651; 0.794; 0.000; 0.302 eV per atom, in the order given.
Short version: magnetization = 0.00; 0.00; 0.00; 0.00 μB per formula unit, in the order given.